Computed, not measured: a relaxed PrPuGe crystal at the GGA-PBE level of DFT.

Formation energy from the elements (meV/atom): -248
ρ (g/cm3): 8.38

Cell: 5.043 5.043 5.043 Å, 60.00 60.00 60.00°
Last column: magnetic moment on the atom in μB.
Sites, in units of the cell vectors:
Pu1 0.500 0.500 0.500  -5.65
Pr1 0.000 0.000 0.000  -0.37
Ge1 0.250 0.250 0.250  0.10

***

Computed, not measured: a relaxed Pr3PuGe3 crystal at the GGA-PBE level of DFT.

Formation energy from the elements (meV/atom): -453
ρ (g/cm3): 7.69

Cell: 6.599 6.599 8.893 Å, 88.79 88.79 99.43°
Last column: magnetic moment on the atom in μB.
Sites, in units of the cell vectors:
Pu1 0.765 0.765 0.929  5.53
Pr1 0.821 0.179 0.500  -0.01
Ge1 0.996 0.507 0.254  -0.01
Pr2 0.535 0.535 0.302  0.04
Pr3 0.240 0.760 0.000  0.18
Pr4 0.760 0.240 0.000  0.18
Ge2 0.088 0.088 0.766  -0.01
Pr5 0.465 0.465 0.698  0.04
Ge3 0.004 0.493 0.746  -0.01
Pu2 0.235 0.235 0.071  5.53
Ge4 0.912 0.912 0.234  -0.01
Pr6 0.179 0.821 0.500  -0.01
Ge5 0.507 0.996 0.254  -0.01
Ge6 0.493 0.004 0.746  -0.01

***

Computed, not measured: a relaxed PrPuGe crystal at the GGA-PBE level of DFT.

Formation energy from the elements (meV/atom): -159
ρ (g/cm3): 10.78

Cell: 3.392 3.392 12.485 Å, 97.81 97.81 90.00°
Sites, in units of the cell vectors:
Pu1 0.731 0.731 0.462
Pr1 0.575 0.575 0.150
Pr2 0.425 0.425 0.850
Pu2 0.269 0.269 0.538
Ge1 0.154 0.154 0.309
Ge2 0.846 0.846 0.691

***

Computed, not measured: a relaxed PrPu5Ge6 crystal at the GGA-PBE level of DFT.

Formation energy from the elements (meV/atom): -416
ρ (g/cm3): 10.99

Cell: 9.454 4.692 7.417 Å, 71.85 81.11 60.24°
Last column: magnetic moment on the atom in μB.
Sites, in units of the cell vectors:
Pu1 0.000 0.676 0.650  5.41
Ge1 0.746 0.421 0.668  -0.01
Pu2 0.500 0.829 0.338  -5.29
Pu3 0.500 0.500 0.000  5.08
Ge2 0.254 0.579 0.332  -0.01
Ge3 0.255 0.245 0.000  -0.02
Pu4 0.000 0.324 0.350  5.41
Ge4 0.745 0.755 0.000  -0.02
Ge5 0.254 0.914 0.668  -0.01
Pr1 0.000 0.000 0.000  0.22
Ge6 0.746 0.086 0.332  -0.01
Pu5 0.500 0.171 0.662  -5.29

***

Computed, not measured: a relaxed PrPu2Ge crystal at the GGA-PBE level of DFT.

Formation energy from the elements (meV/atom): 52
ρ (g/cm3): 11.37

Cell: 5.250 5.250 5.253 Å, 60.02 60.02 60.00°
Last column: magnetic moment on the atom in μB.
Sites, in units of the cell vectors:
Pu1 0.750 0.750 0.750  5.74
Ge1 0.000 0.000 0.000  -0.07
Pr1 0.500 0.500 0.500  0.64
Pu2 0.250 0.250 0.250  5.74

***

Computed, not measured: a relaxed PrPu2Ge crystal at the GGA-PBE level of DFT.

Formation energy from the elements (meV/atom): -244
ρ (g/cm3): 11.49

Cell: 5.015 4.497 4.497 Å, 90.00 90.00 90.00°
Last column: magnetic moment on the atom in μB.
Sites, in units of the cell vectors:
Pu1 0.000 0.500 0.000  5.62
Pr1 0.500 0.500 0.500  0.13
Ge1 0.500 0.000 0.000  -0.10
Pu2 0.000 0.000 0.500  5.62